First-principles (PBE with a Hubbard U) data for a relaxed structure of BaCoSeO, as listed in the Open Quantum Materials Database.

Results
**Total magnetization**: 2.81 μB per formula unit
**Uncorrected energy**: -0.18776 Ha/atom

The structure in POSCAR format:
```
BaCoSeO
1.0
4.582 0.000 0.000
0.000 4.582 0.000
0.000 0.000 8.105
Ba Co Se O
2 2 2 2
Direct
0.250 0.250 0.183 Ba
0.750 0.750 0.817 Ba
0.250 0.250 0.645 Co
0.750 0.750 0.355 Co
0.250 0.750 0.500 Se
0.750 0.250 0.500 Se
0.250 0.250 0.874 O
0.750 0.750 0.126 O
```